VASP calculation (GGA-PBEsol) on crystalline Ba2ScMn at its relaxed geometry.

The structure in POSCAR format:
```
Ba2ScMn
1.0
-3.3467 -4.1487 -1.8279
5.6044 -0.5959 -0.2229
2.5865 -3.6132 3.4652
Ba Mn Sc
2 1 1
Direct
0.0000 0.0000 0.0000
0.2500 0.5000 0.2500
0.5000 0.0000 0.5000
0.7500 0.5000 0.7500
```

## Properties
- D(E_F): 5.62 states/eV/cell
- Magnetization: 3.5 Bohr magnetons per cell
- ΔE_f: 0.6715 eV per atom
- E above lowest polymorph: 0 meV per atom